First-principles (PBE) data for an optimized crystal structure of SrAcAu3, as listed in Alexandria.

Geometry as POSCAR:
```
SrAcAu3
1.0
2.022 -14.393 0.000
2.022 14.393 0.000
0.000 0.000 4.822
Sr Ac Au
2 2 6
Direct
0.205 0.795 0.750
0.795 0.205 0.250
0.072 0.928 0.250
0.928 0.072 0.750
0.323 0.677 0.750
0.380 0.620 0.250
0.477 0.523 0.250
0.523 0.477 0.750
0.620 0.380 0.750
0.677 0.323 0.250
```

Computed properties:
DFT formation energy: -0.788 eV per atom
Electronic total energy: -39.1 eV/cell
Theoretical density: 10.7 Mg/m³
ΔE to the lowest computed polymorph: 0.000 eV/f.u.
Space group: Cmcm

=====

First-principles (PBE) data for an optimized crystal structure of SrAcAu3, as listed in Alexandria.

Geometry as POSCAR:
```
SrAcAu3
1.0
-2.792 2.792 11.627
2.792 -2.792 11.627
2.792 2.792 -11.627
Sr Ac Au
2 2 6
Direct
0.105 0.105 0.000
0.895 0.895 0.000
0.250 0.750 0.500
0.500 0.500 0.000
0.368 0.125 0.757
0.368 0.611 0.243
0.389 0.632 0.757
0.554 0.054 0.500
0.875 0.632 0.243
0.946 0.446 0.500
```

Computed properties:
DFT formation energy: -0.421 eV per atom
Electronic total energy: -35.5 eV/cell
Theoretical density: 8.3 Mg/m³
ΔE to the lowest computed polymorph: 1.833 eV/f.u.
Space group: I-4m2

=====

First-principles (PBE) data for an optimized crystal structure of SrAcAu10, as listed in Alexandria.

Geometry as POSCAR:
```
SrAcAu10
1.0
4.675 0.000 0.000
0.000 5.774 0.000
0.000 0.000 9.856
Sr Ac Au
1 1 10
Direct
0.000 0.000 0.000
0.000 0.500 0.500
0.000 0.000 0.332
0.000 0.000 0.668
0.000 0.500 0.164
0.000 0.500 0.836
0.500 0.000 0.500
0.500 0.252 0.253
0.500 0.252 0.747
0.500 0.500 0.000
0.500 0.748 0.253
0.500 0.748 0.747
```

Computed properties:
DFT formation energy: -0.465 eV per atom
Electronic total energy: -44.1 eV/cell
Theoretical density: 14.3 Mg/m³
Space group: Pmmm

=====

First-principles (PBE) data for an optimized crystal structure of SrAc5Au6, as listed in Alexandria.

Geometry as POSCAR:
```
SrAc5Au6
1.0
-2.770 3.876 8.302
2.770 -3.876 8.302
2.770 3.876 -8.302
Sr Ac Au
1 5 6
Direct
0.000 0.000 0.000
0.162 0.662 0.500
0.332 0.332 0.000
0.500 0.000 0.500
0.668 0.668 0.000
0.838 0.338 0.500
0.086 0.830 0.256
0.260 0.500 0.760
0.425 0.170 0.256
0.575 0.830 0.744
0.740 0.500 0.240
0.914 0.170 0.744
```

Computed properties:
DFT formation energy: -0.772 eV per atom
Electronic total energy: -51.2 eV/cell
Theoretical density: 11.2 Mg/m³
Space group: Immm

=====

First-principles (PBE) data for an optimized crystal structure of Sr2AcAu, as listed in Alexandria.

Geometry as POSCAR:
```
Sr2AcAu
1.0
2.100 1.212 10.968
-2.100 1.212 10.968
0.000 -2.425 10.968
Sr Ac Au
2 1 1
Direct
0.000 0.000 0.000
0.212 0.212 0.212
0.440 0.440 0.440
0.606 0.606 0.606
```

Computed properties:
DFT formation energy: -0.299 eV per atom
Electronic total energy: -11.9 eV/cell
Theoretical density: 5.9 Mg/m³
ΔE to the lowest computed polymorph: 0.080 eV/f.u.
Space group: R3m

=====

First-principles (PBE) data for an optimized crystal structure of Sr2Ac2Au5, as listed in Alexandria.

Geometry as POSCAR:
```
Sr2Ac2Au5
1.0
8.020 -4.228 0.000
8.020 4.228 0.000
0.000 0.000 8.462
Sr Ac Au
4 4 10
Direct
0.195 0.195 0.000
0.305 0.305 0.500
0.695 0.695 0.500
0.805 0.805 0.000
0.167 0.833 0.667
0.333 0.667 0.167
0.667 0.333 0.833
0.833 0.167 0.333
0.000 0.000 0.000
0.002 0.739 0.368
0.239 0.502 0.868
0.261 0.998 0.368
0.498 0.761 0.868
0.500 0.500 0.500
0.502 0.239 0.132
0.739 0.002 0.632
0.761 0.498 0.132
0.998 0.261 0.632
```

Computed properties:
DFT formation energy: -0.727 eV per atom
Electronic total energy: -69.0 eV/cell
Theoretical density: 9.3 Mg/m³
Space group: Cmce

=====

First-principles (PBE) data for an optimized crystal structure of SrAc3Au2, as listed in Alexandria.

Geometry as POSCAR:
```
SrAc3Au2
1.0
5.357 0.000 0.000
0.000 9.737 0.000
0.000 0.000 8.079
Sr Ac Au
2 6 4
Direct
0.000 0.079 0.000
0.000 0.921 0.500
0.000 0.336 0.633
0.000 0.664 0.133
0.500 0.170 0.341
0.500 0.415 0.973
0.500 0.585 0.473
0.500 0.830 0.841
0.000 0.348 0.236
0.000 0.652 0.736
0.500 0.150 0.733
0.500 0.850 0.233
```

Computed properties:
DFT formation energy: -0.510 eV per atom
Electronic total energy: -47.2 eV/cell
Theoretical density: 9.2 Mg/m³
Space group: Pmc2_1

=====

First-principles (PBE) data for an optimized crystal structure of SrAcTlAu, as listed in Alexandria.

Geometry as POSCAR:
```
SrAcTlAu
1.0
3.951 0.000 0.000
0.000 3.951 0.000
0.000 0.000 8.240
Sr Ac Tl Au
1 1 1 1
Direct
0.000 0.000 0.000
0.000 0.000 0.462
0.500 0.500 0.734
0.500 0.500 0.246
```

Computed properties:
DFT formation energy: -0.586 eV per atom
Electronic total energy: -13.8 eV/cell
Theoretical density: 9.2 Mg/m³
ΔE to the lowest computed polymorph: 0.000 eV/f.u.
Space group: P4mm

=====

First-principles (PBE) data for an optimized crystal structure of SrAcTlAu, as listed in Alexandria.

Geometry as POSCAR:
```
SrAcTlAu
1.0
0.000 3.993 3.993
3.993 0.000 3.993
3.993 3.993 0.000
Sr Ac Tl Au
1 1 1 1
Direct
0.000 0.000 0.000
0.500 0.500 0.500
0.750 0.750 0.750
0.250 0.250 0.250
```

Computed properties:
DFT formation energy: -0.548 eV per atom
Electronic total energy: -13.6 eV/cell
Theoretical density: 9.3 Mg/m³
ΔE to the lowest computed polymorph: 0.152 eV/f.u.
Space group: F-43m

=====

First-principles (PBE) data for an optimized crystal structure of SrAcZn2Au5, as listed in Alexandria.

Geometry as POSCAR:
```
SrAcZn2Au5
1.0
4.689 0.000 0.000
0.000 4.689 0.000
0.000 0.000 9.205
Sr Ac Zn Au
1 1 2 5
Direct
0.000 0.000 0.000
0.000 0.000 0.500
0.500 0.500 0.361
0.500 0.500 0.639
0.000 0.500 0.235
0.000 0.500 0.765
0.500 0.000 0.235
0.500 0.000 0.765
0.500 0.500 0.000
```

Computed properties:
DFT formation energy: -0.536 eV per atom
Electronic total energy: -29.5 eV/cell
Theoretical density: 11.7 Mg/m³
Space group: P4/mmm

=====

First-principles (PBE) data for an optimized crystal structure of SrAcZn2Au2, as listed in Alexandria.

Geometry as POSCAR:
```
SrAcZn2Au2
1.0
4.669 0.000 0.000
-2.335 4.044 0.000
0.000 0.000 8.178
Sr Ac Zn Au
1 1 2 2
Direct
0.000 0.000 0.000
0.000 0.000 0.500
0.333 0.667 0.751
0.667 0.333 0.249
0.333 0.667 0.257
0.667 0.333 0.743
```

Computed properties:
DFT formation energy: -0.623 eV per atom
Electronic total energy: -18.6 eV/cell
Theoretical density: 9.0 Mg/m³
Space group: P-3m1